a | # HoNi4Ge2 (GGA-PBE, relaxed)
# Calculated density in g/cm3: 9.094
# Magnetization in μB/cell: 0.00
data_HoNi4Ge2
_cell_length_a 7.283
_cell_length_b 7.283
_cell_length_c 3.752
_cell_angle_alpha 90.00
_cell_angle_beta 90.00
_cell_angle_gamma 90.00
_symmetry_space_group_name_H-M 'P 42/m n m'
_symmetry_Int_Tables_number 136
_symmetry_space_group_name_Hall '-P 4n 2n'
loop_
_atom_site_label
_atom_site_type_symbol
_atom_site_fract_x
_atom_site_fract_y
_atom_site_fract_z
_atom_site_occupancy
Ho1 Ho 0.000 0.000 0.000 1
Ni1 Ni 0.086 0.344 0.500 1
Ge1 Ge 0.220 0.780 0.500 1


b | # HoNi4Ge2 (GGA-PBE, relaxed)
# Calculated density in g/cm3: 8.858
# Magnetization in μB/cell: 0.00
data_HoNi4Ge2
_cell_length_a 4.0320
_cell_length_b 4.0320
_cell_length_c 21.7681
_cell_angle_alpha 90.00
_cell_angle_beta 90.00
_cell_angle_gamma 120.00
_symmetry_space_group_name_H-M 'R -3 m'
_symmetry_Int_Tables_number 166
_symmetry_space_group_name_Hall '-R 3 2"'
loop_
_atom_site_label
_atom_site_type_symbol
_atom_site_fract_x
_atom_site_fract_y
_atom_site_fract_z
_atom_site_occupancy
Ho1 Ho 0.0000 0.0000 0.0000 1
Ni1 Ni 0.0000 0.0000 0.1413 1
Ni2 Ni 0.0000 0.0000 0.4387 1
Ge1 Ge 0.0000 0.0000 0.2496 1


a comes first in stability; the runner-up is 0.052 eV/atom higher.


a | # Ho2Ni2Ge3 (GGA-PBE, relaxed)
# Calculated density in g/cm3: 9.028
# Magnetization in μB/cell: 0.00
data_Ho2Ni2Ge3
_cell_length_a 10.041
_cell_length_b 4.034
_cell_length_c 6.599
_cell_angle_alpha 90.00
_cell_angle_beta 113.73
_cell_angle_gamma 90.00
_symmetry_space_group_name_H-M 'C 1 2/m 1'
_symmetry_Int_Tables_number 12
_symmetry_space_group_name_Hall '-C 2y'
loop_
_atom_site_label
_atom_site_type_symbol
_atom_site_fract_x
_atom_site_fract_y
_atom_site_fract_z
_atom_site_occupancy
Ho1 Ho 0.148 0.000 0.284 1
Ni1 Ni 0.142 0.000 0.745 1
Ge1 Ge 0.000 0.500 0.500 1
Ge2 Ge 0.118 0.500 0.947 1


b | # Ho2Ni2Ge3 (GGA-PBE, relaxed)
# Calculated density in g/cm3: 8.982
# Magnetization in μB/cell: 0.00
data_Ho2Ni2Ge3
_cell_length_a 4.128
_cell_length_b 17.742
_cell_length_c 6.716
_cell_angle_alpha 90.00
_cell_angle_beta 90.00
_cell_angle_gamma 90.00
_symmetry_space_group_name_H-M 'C m c m'
_symmetry_Int_Tables_number 63
_symmetry_space_group_name_Hall '-C 2c 2'
loop_
_atom_site_label
_atom_site_type_symbol
_atom_site_fract_x
_atom_site_fract_y
_atom_site_fract_z
_atom_site_occupancy
Ho1 Ho 0.000 0.050 0.250 1
Ho2 Ho 0.000 0.159 0.750 1
Ni1 Ni 0.000 0.302 0.554 1
Ge1 Ge 0.000 0.222 0.250 1
Ge2 Ge 0.000 0.432 0.059 1


b comes first in stability; the runner-up is 0.127 eV/atom higher.


a | # Ho2GeP (GGA-PBE, relaxed)
# Calculated density in g/cm3: 7.654
# Magnetization in μB/cell: 0.00
data_Ho2GeP
_cell_length_a 3.9191
_cell_length_b 3.9191
_cell_length_c 21.2093
_cell_angle_alpha 90.00
_cell_angle_beta 90.00
_cell_angle_gamma 120.00
_symmetry_space_group_name_H-M 'R -3 m'
_symmetry_Int_Tables_number 166
_symmetry_space_group_name_Hall '-R 3 2"'
loop_
_atom_site_label
_atom_site_type_symbol
_atom_site_fract_x
_atom_site_fract_y
_atom_site_fract_z
_atom_site_occupancy
Ho1 Ho 0.0000 0.0000 0.2434 1
Ge1 Ge 0.0000 0.0000 0.0000 1
P1 P 0.0000 0.0000 0.5000 1


b | # Ho2GeP (GGA-PBE, relaxed)
# Calculated density in g/cm3: 7.965
# Magnetization in μB/cell: 0.00
data_Ho2GeP
_cell_length_a 4.128
_cell_length_b 22.143
_cell_length_c 3.954
_cell_angle_alpha 90.00
_cell_angle_beta 90.00
_cell_angle_gamma 90.00
_symmetry_space_group_name_H-M 'C m c m'
_symmetry_Int_Tables_number 63
_symmetry_space_group_name_Hall '-C 2c 2'
loop_
_atom_site_label
_atom_site_type_symbol
_atom_site_fract_x
_atom_site_fract_y
_atom_site_fract_z
_atom_site_occupancy
Ho1 Ho 0.000 0.067 0.250 1
Ho2 Ho 0.000 0.312 0.250 1
Ge1 Ge 0.000 0.458 0.250 1
P1 P 0.000 0.188 0.250 1


b comes first in stability; the runner-up is 0.087 eV/atom higher.